Compound: Pr8Nd6Ho
Source: Alexandria
Functional: PBE
Structure: relaxed

Cell and atoms, written as POSCAR:
```
Pr8Nd6Ho
1.0
9.366 0.000 0.000
4.683 8.111 0.000
4.683 2.704 7.084
Pr Nd Ho
8 6 1
Direct
0.248 0.285 0.581 Pr
0.715 0.113 0.419 Pr
0.113 0.752 0.419 Pr
0.578 0.578 0.266 Pr
0.422 0.422 0.734 Pr
0.887 0.248 0.581 Pr
0.285 0.887 0.581 Pr
0.752 0.715 0.419 Pr
0.460 0.903 0.878 Nd
0.097 0.242 0.122 Nd
0.242 0.540 0.122 Nd
0.758 0.460 0.878 Nd
0.903 0.758 0.878 Nd
0.540 0.097 0.122 Nd
0.000 0.000 0.000 Ho
```

- Magnetic moment: 0.00 μB per cell
- DOS at the Fermi energy: 1.522 states/eV/atom
- Relative energy among the computed polymorphs: 0.0000 eV per atom
- Space-group type: R-3 (148)
- Formation energy: 1.61 eV/f.u.